(1)
First-principles (PBE-GGA) data for a relaxed structure of BeCrN2, as listed in the Alexandria database.

Formation energy without anion corrections   -0.9 eV/f.u.

Cell lengths 2.831, 2.831, 15.960 Å; angles 90.00, 90.00, 120.00 degrees
Fractional coordinates of all 12 atoms:
Be 0.000 0.000 0.000
Be 0.333 0.667 0.667
Be 0.667 0.333 0.333
Cr 0.000 0.000 0.500
Cr 0.333 0.667 0.167
Cr 0.667 0.333 0.833
N 0.000 0.000 0.096
N 0.000 0.000 0.904
N 0.333 0.667 0.571
N 0.333 0.667 0.762
N 0.667 0.333 0.238
N 0.667 0.333 0.429



(2)
First-principles (PBE-GGA) data for a relaxed structure of NpMoRh2, as listed in the Alexandria database.

Formation energy from the elements   -0.8 kcal/mol of atoms

Cell lengths 2.775, 2.775, 29.062 Å; angles 90.00, 90.00, 120.00 degrees
Fractional coordinates of all 12 atoms:
Np 0.000 0.000 0.000
Np 0.333 0.667 0.667
Np 0.667 0.333 0.333
Mo 0.000 0.000 0.500
Mo 0.333 0.667 0.167
Mo 0.667 0.333 0.833
Rh 0.000 0.000 0.243
Rh 0.000 0.000 0.757
Rh 0.333 0.667 0.423
Rh 0.333 0.667 0.910
Rh 0.667 0.333 0.090
Rh 0.667 0.333 0.577



(3)
First-principles (PBE-GGA) data for a relaxed structure of Be5Te4, as listed in the Alexandria database.

Formation energy without anion corrections   1.3 eV/f.u.
E above lowest polymorph   0 meV/atom

Cell lengths 8.134, 8.134, 8.134 Å; angles 92.71, 92.71, 154.89 degrees
Fractional coordinates of all 9 atoms:
Be 0.000 0.000 0.000
Be 0.399 0.399 0.799
Be 0.399 0.601 0.000
Be 0.601 0.399 0.000
Be 0.601 0.601 0.201
Te 0.000 0.237 0.237
Te 0.000 0.763 0.763
Te 0.237 0.000 0.237
Te 0.763 0.000 0.763



(4)
First-principles (PBE-GGA) data for a relaxed structure of TlSnHg14, as listed in the Alexandria database.

Formation energy from the elements   0.5 kcal/mol of atoms

Cell lengths 8.463, 8.951, 8.951 Å; angles 43.12, 90.00, 90.00 degrees
Fractional coordinates of all 16 atoms:
Tl 0.000 0.000 0.000
Sn 0.000 0.522 0.522
Hg 0.000 0.039 0.537
Hg 0.000 0.537 0.039
Hg 0.224 0.385 0.894
Hg 0.224 0.894 0.385
Hg 0.272 0.395 0.395
Hg 0.291 0.881 0.881
Hg 0.500 0.021 0.501
Hg 0.500 0.039 0.039
Hg 0.500 0.501 0.021
Hg 0.500 0.544 0.544
Hg 0.709 0.881 0.881
Hg 0.728 0.395 0.395
Hg 0.776 0.385 0.894
Hg 0.776 0.894 0.385



(5)
First-principles (PBE-GGA) data for a relaxed structure of MgTaSi2, as listed in the Alexandria database.

Formation energy without anion corrections   0.0 eV/f.u.

Cell lengths 3.528, 3.528, 5.278 Å; angles 90.00, 90.00, 90.00 degrees
Fractional coordinates of all 4 atoms:
Mg 0.000 0.000 0.000
Ta 0.500 0.500 0.706
Si 0.000 0.000 0.504
Si 0.500 0.500 0.218



(6)
First-principles (PBE-GGA) data for a relaxed structure of Zr3HW, as listed in the Alexandria database.

E above lowest polymorph   0 meV/atom

Cell lengths 4.413, 4.413, 4.413 Å; angles 90.00, 90.00, 90.00 degrees
Fractional coordinates of all 5 atoms:
Zr 0.000 0.000 0.500
Zr 0.000 0.500 0.000
Zr 0.500 0.000 0.000
H 0.000 0.000 0.000
W 0.500 0.500 0.500